Entry one
Computed, not measured: a relaxed structure of MgGa2Rh2 at the PBE level of DFT.

Calculated values
The total magnetic moment is 0.00 μB per formula unit. For the theoretical density, the calculation gives 7.9 g cm⁻³.

Cell lengths 7.204, 7.204, 2.980 Å; angles 90.00, 90.00, 90.00 degrees
Space group P4/mbm (No. 127)
Symmetry-distinct sites (fractional):
Mg (0.000, 0.000, 0.000) [2 per cell]
Ga (0.149, 0.351, 0.500) [4 per cell]
Rh (0.149, 0.649, 0.000) [4 per cell]

=====

Entry two
Computed, not measured: a relaxed structure of MgGa2Rh2 at the PBE level of DFT.

Calculated values
The total magnetic moment is 0.00 μB per formula unit. For the theoretical density, the calculation gives 7.0 g cm⁻³.

Cell lengths 4.219, 4.219, 9.799 Å; angles 90.00, 90.00, 90.00 degrees
Space group I4/mmm (No. 139)
Symmetry-distinct sites (fractional):
Mg (0.000, 0.000, 0.000) [2 per cell]
Ga (0.000, 0.000, 0.375) [4 per cell]
Rh (0.000, 0.500, 0.250) [4 per cell]

=====

Going by the energies, entry one is most stable and the next is 174 meV/atom up.

=====

Entry one
Computed, not measured: a relaxed structure of Mg2GaRh3 at the PBE level of DFT.

Calculated values
The total magnetic moment is 0.00 μB per formula unit. For the theoretical density, the calculation gives 8.1 g cm⁻³.

Cell lengths 4.357, 13.049, 3.089 Å; angles 90.00, 90.00, 90.00 degrees
Space group Cmmm (No. 65)
Symmetry-distinct sites (fractional):
Mg (0.000, 0.169, 0.000) [4 per cell]
Ga (0.000, 0.500, 0.000) [2 per cell]
Rh (0.000, 0.000, 0.500) [2 per cell]
Rh (0.000, 0.341, 0.500) [4 per cell]

=====

Entry two
Computed, not measured: a relaxed structure of Mg2GaRh3 at the PBE level of DFT.

Calculated values
The total magnetic moment is 0.00 μB per formula unit. For the theoretical density, the calculation gives 8.0 g cm⁻³.

Cell lengths 3.085, 3.085, 9.266 Å; angles 90.00, 90.00, 90.00 degrees
Space group P4/mmm (No. 123)
Symmetry-distinct sites (fractional):
Mg (0.000, 0.000, 0.167) [2 per cell]
Ga (0.000, 0.000, 0.500) [1 per cell]
Rh (0.500, 0.500, 0.000) [1 per cell]
Rh (0.500, 0.500, 0.345) [2 per cell]

=====

Going by the energies, entry one is most stable and the next is 17 meV/atom up.

=====

Entry one
Computed, not measured: a relaxed structure of Mg2Ga4Rh at the PBE level of DFT.

Calculated values
The total magnetic moment is 0.00 μB per formula unit. For the theoretical density, the calculation gives 5.5 g cm⁻³.

Cell lengths 4.788, 17.270, 3.151 Å; angles 90.00, 90.00, 90.00 degrees
Space group Cmmm (No. 65)
Symmetry-distinct sites (fractional):
Mg (0.000, 0.209, 0.000) [4 per cell]
Ga (0.000, 0.074, 0.500) [4 per cell]
Ga (0.000, 0.381, 0.000) [4 per cell]
Rh (0.000, 0.500, 0.500) [2 per cell]

=====

Entry two
Computed, not measured: a relaxed structure of Mg2Ga4Rh at the PBE level of DFT.

Calculated values
The total magnetic moment is 0.00 μB per formula unit. For the theoretical density, the calculation gives 4.6 g cm⁻³.

Cell lengths 4.832, 4.832, 13.386 Å; angles 90.00, 90.00, 90.00 degrees
Space group I4/mmm (No. 139)
Symmetry-distinct sites (fractional):
Mg (0.000, 0.000, 0.119) [4 per cell]
Ga (0.000, 0.000, 0.316) [4 per cell]
Ga (0.000, 0.500, 0.000) [4 per cell]
Rh (0.000, 0.000, 0.500) [2 per cell]

=====

Going by the energies, entry one is most stable and the next is 123 meV/atom up.

=====

Entry one
Computed, not measured: a relaxed structure of MgGaRh3 at the PBE level of DFT.

Calculated values
The total magnetic moment is 1.47 μB per formula unit. For the theoretical density, the calculation gives 7.1 g cm⁻³.

Cell lengths 4.555, 4.555, 4.555 Å; angles 90.00, 90.00, 90.00 degrees
Space group Pm-3m (No. 221)
Symmetry-distinct sites (fractional):
Mg (0.000, 0.000, 0.000) [1 per cell]
Ga (0.500, 0.500, 0.500) [1 per cell]
Rh (0.000, 0.500, 0.500) [3 per cell]

=====

Entry two
Computed, not measured: a relaxed structure of MgGaRh3 at the PBE level of DFT.

Calculated values
The total magnetic moment is 0.00 μB per formula unit. For the theoretical density, the calculation gives 7.4 g cm⁻³.

Cell lengths 4.478, 4.478, 4.478 Å; angles 90.00, 90.00, 90.00 degrees
Space group Pm-3m (No. 221)
Symmetry-distinct sites (fractional):
Mg (0.000, 0.000, 0.000) [1 per cell]
Ga (0.500, 0.500, 0.500) [1 per cell]
Rh (0.000, 0.000, 0.500) [3 per cell]

=====

Going by the energies, entry one is most stable and the next is 546 meV/atom up.

=====

Entry one
Computed, not measured: a relaxed structure of Mg2Ga5Rh3 at the PBE level of DFT.

Calculated values
The total magnetic moment is 0.00 μB per formula unit. For the theoretical density, the calculation gives 6.7 g cm⁻³.

Cell lengths 10.747, 11.708, 5.533 Å; angles 90.00, 90.00, 90.00 degrees
Space group Ibam (No. 72)
Symmetry-distinct sites (fractional):
Mg (0.143, 0.231, 0.000) [8 per cell]
Ga (0.000, 0.000, 0.250) [4 per cell]
Ga (0.096, 0.348, 0.500) [8 per cell]
Ga (0.244, 0.500, 0.250) [8 per cell]
Rh (0.000, 0.500, 0.250) [4 per cell]
Rh (0.118, 0.141, 0.500) [8 per cell]

=====

Entry two
Computed, not measured: a relaxed structure of Mg2Ga5Rh3 at the PBE level of DFT.

Calculated values
The total magnetic moment is 0.00 μB per formula unit. For the theoretical density, the calculation gives 7.3 g cm⁻³.

Cell lengths 9.821, 12.248, 5.462 Å; angles 90.00, 100.67, 90.00 degrees
Space group C2/c (No. 15)
Symmetry-distinct sites (fractional):
Mg (0.117, 0.223, 0.093) [8 per cell]
Ga (0.000, 0.009, 0.250) [4 per cell]
Ga (0.122, 0.347, 0.587) [8 per cell]
Ga (0.224, 0.456, 0.041) [8 per cell]
Rh (0.000, 0.483, 0.250) [4 per cell]
Rh (0.149, 0.145, 0.588) [8 per cell]

=====

Going by the energies, entry two is most stable and the next is 96 meV/atom up.

=====

Entry one
Computed, not measured: a relaxed structure of Mg5Ga2Rh4 at the PBE level of DFT.

Calculated values
The total magnetic moment is 0.00 μB per formula unit. For the theoretical density, the calculation gives 6.2 g cm⁻³.

Cell lengths 3.027, 8.028, 8.533 Å; angles 62.67, 80.65, 82.59 degrees
Space group P-1 (No. 2)
Symmetry-distinct sites (fractional):
Mg (0.000, 0.000, 0.000) [1 per cell]
Mg (0.066, 0.045, 0.316) [2 per cell]
Mg (0.278, 0.648, 0.337) [2 per cell]
Ga (0.059, 0.561, 0.816) [2 per cell]
Rh (0.397, 0.253, 0.445) [2 per cell]
Rh (0.447, 0.708, 0.977) [2 per cell]

=====

Entry two
Computed, not measured: a relaxed structure of Mg5Ga2Rh4 at the PBE level of DFT.

Calculated values
The total magnetic moment is 0.00 μB per formula unit. For the theoretical density, the calculation gives 5.7 g cm⁻³.

Cell lengths 19.893, 2.955, 7.026 Å; angles 90.00, 108.29, 90.00 degrees
Space group C2/m (No. 12)
Symmetry-distinct sites (fractional):
Mg (0.000, 0.000, 0.000) [2 per cell]
Mg (0.149, 0.500, 0.214) [4 per cell]
Mg (0.200, 0.500, 0.663) [4 per cell]
Ga (0.054, 0.500, 0.426) [4 per cell]
Rh (0.072, 0.500, 0.797) [4 per cell]
Rh (0.190, 0.000, 0.968) [4 per cell]

=====

Going by the energies, entry one is most stable and the next is 321 meV/atom up.

=====

Entry one
Computed, not measured: a relaxed structure of Mg3Ga3Rh2 at the PBE level of DFT.

Calculated values
The total magnetic moment is 0.00 μB per formula unit. For the theoretical density, the calculation gives 5.6 g cm⁻³.

Cell lengths 7.576, 14.278, 5.313 Å; angles 90.00, 90.00, 90.00 degrees
Space group Pnma (No. 62)
Symmetry-distinct sites (fractional):
Mg (0.037, 0.113, 0.101) [8 per cell]
Mg (0.167, 0.250, 0.635) [4 per cell]
Ga (0.176, 0.750, 0.650) [4 per cell]
Ga (0.178, 0.036, 0.597) [8 per cell]
Rh (0.115, 0.614, 0.382) [8 per cell]

=====

Entry two
Computed, not measured: a relaxed structure of Mg3Ga3Rh2 at the PBE level of DFT.

Calculated values
The total magnetic moment is 0.00 μB per formula unit. For the theoretical density, the calculation gives 6.0 g cm⁻³.

Cell lengths 3.164, 10.230, 16.671 Å; angles 90.00, 90.00, 90.00 degrees
Space group Cmcm (No. 63)
Symmetry-distinct sites (fractional):
Mg (0.000, 0.037, 0.119) [8 per cell]
Mg (0.000, 0.358, 0.250) [4 per cell]
Ga (0.000, 0.362, 0.018) [8 per cell]
Ga (0.000, 0.370, 0.750) [4 per cell]
Rh (0.000, 0.239, 0.621) [8 per cell]

=====

Going by the energies, entry one is most stable and the next is 21 meV/atom up.

=====

Entry one
Computed, not measured: a relaxed structure of MgZnGaRu at the PBE level of DFT.

Calculated values
The total magnetic moment is 0.00 μB per formula unit. For the theoretical density, the calculation gives 6.3 g cm⁻³.

Cell lengths 4.1474, 4.1474, 13.9166 Å; angles 90.00, 90.00, 120.00 degrees
Space group R3m (No. 160, hexagonal axes)
Symmetry-distinct sites (fractional):
Mg (0.0000, 0.0000, 0.0000) [3 per cell]
Zn (0.0000, 0.0000, 0.4218) [3 per cell]
Ga (0.0000, 0.0000, 0.8155) [3 per cell]
Ru (0.0000, 0.0000, 0.2024) [3 per cell]

=====

Entry two
Computed, not measured: a relaxed structure of MgZnGaRu at the PBE level of DFT.

Calculated values
The total magnetic moment is 0.00 μB per formula unit. For the theoretical density, the calculation gives 7.2 g cm⁻³.

Cell lengths 6.219, 6.219, 6.219 Å; angles 90.00, 90.00, 90.00 degrees
Space group F-43m (No. 216)
Symmetry-distinct sites (fractional):
Mg (0.000, 0.000, 0.000) [4 per cell]
Zn (0.250, 0.250, 0.250) [4 per cell]
Ga (0.250, 0.250, 0.750) [4 per cell]
Ru (0.000, 0.000, 0.500) [4 per cell]

=====

Going by the energies, entry two is most stable and the next is 135 meV/atom up.

=====

Entry one
Computed, not measured: a relaxed structure of Mg3GaS at the PBE level of DFT.

Calculated values
The total magnetic moment is 0.00 μB per formula unit. For the theoretical density, the calculation gives 2.3 g cm⁻³.

Cell lengths 4.985, 4.985, 4.985 Å; angles 90.00, 90.00, 90.00 degrees
Space group Pm-3m (No. 221)
Symmetry-distinct sites (fractional):
Mg (0.000, 0.000, 0.500) [3 per cell]
Ga (0.000, 0.000, 0.000) [1 per cell]
S (0.500, 0.500, 0.500) [1 per cell]

=====

Entry two
Computed, not measured: a relaxed structure of Mg3GaS at the PBE level of DFT.

Calculated values
The total magnetic moment is 0.00 μB per formula unit. For the theoretical density, the calculation gives 2.6 g cm⁻³.

Cell lengths 4.830, 4.830, 4.830 Å; angles 90.00, 90.00, 90.00 degrees
Space group Pm-3m (No. 221)
Symmetry-distinct sites (fractional):
Mg (0.000, 0.000, 0.500) [3 per cell]
Ga (0.500, 0.500, 0.500) [1 per cell]
S (0.000, 0.000, 0.000) [1 per cell]

=====

Going by the energies, entry two is most stable and the next is 252 meV/atom up.

=====

Entry one
Computed, not measured: a relaxed structure of MgGa2S2 at the PBE level of DFT.

Calculated values
The total magnetic moment is 0.00 μB per formula unit. For the theoretical density, the calculation gives 3.9 g cm⁻³.

Cell lengths 4.931, 4.931, 8.075 Å; angles 90.00, 90.00, 90.00 degrees
Space group I4/mmm (No. 139)
Symmetry-distinct sites (fractional):
Mg (0.000, 0.000, 0.000) [2 per cell]
Ga (0.000, 0.000, 0.346) [4 per cell]
S (0.000, 0.500, 0.250) [4 per cell]

=====

Entry two
Computed, not measured: a relaxed structure of MgGa2S2 at the PBE level of DFT.

Calculated values
The total magnetic moment is 0.00 μB per formula unit. For the theoretical density, the calculation gives 3.6 g cm⁻³.

Cell lengths 7.532, 7.532, 3.680 Å; angles 90.00, 90.00, 90.00 degrees
Space group P4/mbm (No. 127)
Symmetry-distinct sites (fractional):
Mg (0.000, 0.000, 0.000) [2 per cell]
Ga (0.114, 0.386, 0.000) [4 per cell]
S (0.248, 0.252, 0.500) [4 per cell]

=====

Going by the energies, entry one is most stable and the next is 74 meV/atom up.

=====

Entry one
Computed, not measured: a relaxed structure of MgGa2Sb2 at the PBE level of DFT.

Calculated values
The total magnetic moment is 0.00 μB per formula unit. For the theoretical density, the calculation gives 5.5 g cm⁻³.

Cell lengths 7.910, 7.910, 3.930 Å; angles 90.00, 90.00, 90.00 degrees
Space group P4/mbm (No. 127)
Symmetry-distinct sites (fractional):
Mg (0.000, 0.000, 0.000) [2 per cell]
Ga (0.137, 0.363, 0.500) [4 per cell]
Sb (0.161, 0.661, 0.000) [4 per cell]

=====

Entry two
Computed, not measured: a relaxed structure of MgGa2Sb2 at the PBE level of DFT.

Calculated values
The total magnetic moment is 0.00 μB per formula unit. For the theoretical density, the calculation gives 5.5 g cm⁻³.

Cell lengths 3.973, 3.973, 15.450 Å; angles 90.00, 90.00, 90.00 degrees
Space group I4/mmm (No. 139)
Symmetry-distinct sites (fractional):
Mg (0.000, 0.000, 0.000) [2 per cell]
Ga (0.000, 0.500, 0.250) [4 per cell]
Sb (0.000, 0.000, 0.402) [4 per cell]

=====

Going by the energies, entry two is most stable and the next is 6 meV/atom up.